Record 1
Compound: Cd4Pd5Pt4
Source: Alexandria via LeMat-Bulk
Functional: PBE
Structure: relaxed

## Properties
**Formation energy**: -0.257 eV/atom
**Calculated total energy**: -57.1 eV per cell
**Spin magnetization**: 0.00 μB per formula unit
**Space group**: I4/m, No. 87
**Crystal system**: tetragonal

Cell lengths 4.094, 7.560, 7.560 Å; angles 85.80, 74.29, 74.29 degrees
Positions (direct):
Cd 0.772 0.374 0.081
Cd 0.228 0.626 0.919
Cd 0.853 0.919 0.374
Cd 0.147 0.081 0.626
Pd 0.693 0.848 0.766
Pd 0.307 0.152 0.234
Pd 0.000 0.000 0.000
Pd 0.541 0.766 0.152
Pd 0.459 0.234 0.848
Pt 0.921 0.470 0.688
Pt 0.609 0.312 0.470
Pt 0.079 0.530 0.312
Pt 0.391 0.688 0.530

Record 2
Compound: KBeFeNi2
Source: Alexandria via LeMat-Bulk
Functional: PBE
Structure: relaxed

## Properties
**Formation energy**: 2.619 eV/atom
**Calculated total energy**: -11.8 eV per cell
**Spin magnetization**: 0.99 μB per formula unit
**Space group**: P4/mmm, No. 123
**Crystal system**: tetragonal

Cell lengths 4.287, 4.535, 4.287 Å; angles 90.00, 90.00, 90.00 degrees
Positions (direct):
Ni 0.000 0.000 0.500
Ni 0.500 0.000 0.000
K 0.000 0.000 0.000
Fe 0.500 0.500 0.500
Be 0.000 0.500 0.000

Record 3
Compound: Tb4YTe7
Source: Alexandria via LeMat-Bulk
Functional: PBE
Structure: relaxed

## Properties
**Formation energy without anion corrections**: -1606 kJ/mol of formula units
**Calculated total energy**: -63.6 eV per cell
**Spin magnetization**: 0.00 μB per formula unit
**Space group**: Cm, No. 8
**Crystal system**: monoclinic

Cell lengths 4.251, 7.483, 13.213 Å; angles 103.56, 90.00, 106.50 degrees
Positions (direct):
Tb 0.701 0.403 0.813
Tb 0.299 0.598 0.187
Tb 0.000 0.000 0.000
Tb 0.115 0.230 0.424
Y 0.885 0.769 0.576
Te 0.743 0.486 0.351
Te 0.257 0.515 0.650
Te 0.339 0.679 0.952
Te 0.661 0.322 0.048
Te 0.038 0.076 0.783
Te 0.962 0.924 0.216
Te 0.499 0.998 0.500

Record 4
Compound: TcSnIrOsS
Source: Alexandria via LeMat-Bulk
Functional: PBE
Structure: relaxed

## Properties
**Formation energy without anion corrections**: 83 kJ/mol of formula units
**Offset from the most stable computed form**: 0.107 eV per atom
**Calculated total energy**: -75.4 eV per cell
**Spin magnetization**: 0.00 μB per formula unit
**Space group**: Amm2, No. 38
**Crystal system**: orthorhombic

Cell lengths 3.656, 2.910, 15.949 Å; angles 90.00, 90.00, 90.00 degrees
Positions (direct):
S 0.500 0.000 0.401
S 0.500 0.500 0.901
Ir 0.500 0.000 0.095
Ir 0.500 0.500 0.595
Os 0.000 0.000 0.868
Os 0.000 0.500 0.368
Sn 0.000 0.000 0.699
Sn 0.000 0.500 0.199
Tc 0.000 0.000 0.512
Tc 0.000 0.500 0.012

Record 5
Compound: CePrPbAu
Source: Alexandria via LeMat-Bulk
Functional: PBE
Structure: relaxed

## Properties
**Formation energy**: -0.525 eV/atom
**Calculated total energy**: -19.8 eV per cell
**Spin magnetization**: 2.07 μB per formula unit
**Space group**: F-43m, No. 216
**Crystal system**: cubic

Cell lengths 5.450, 5.450, 5.450 Å; angles 60.00, 60.00, 60.00 degrees
Positions (direct):
Pb 0.500 0.500 0.500
Pr 0.250 0.250 0.250
Au 0.000 0.000 0.000
Ce 0.750 0.750 0.750

Record 6
Compound: BaAuI
Source: Alexandria via LeMat-Bulk
Functional: PBE
Structure: relaxed

## Properties
**Formation energy without anion corrections**: -341 kJ/mol of formula units
**Offset from the most stable computed form**: 0.025 eV per atom
**Calculated total energy**: -20.6 eV per cell
**Spin magnetization**: 0.00 μB per formula unit
**Space group**: P2_1/m, No. 11
**Crystal system**: monoclinic

Cell lengths 4.907, 4.937, 9.339 Å; angles 90.00, 96.18, 90.00 degrees
Positions (direct):
Ba 0.684 0.250 0.733
Ba 0.316 0.750 0.267
Au 0.146 0.250 0.487
Au 0.854 0.750 0.513
I 0.778 0.250 0.134
I 0.222 0.750 0.866

Record 7
Compound: SmScPb
Source: Alexandria via LeMat-Bulk
Functional: PBE
Structure: relaxed

## Properties
**Formation energy**: -0.461 eV/atom
**Offset from the most stable computed form**: 0.000 eV per atom
**Calculated total energy**: -32.3 eV per cell
**Spin magnetization**: 0.00 μB per formula unit
**Space group**: P4/nmm, No. 129
**Crystal system**: tetragonal

Cell lengths 4.502, 4.501, 8.404 Å; angles 90.00, 90.00, 90.00 degrees
Positions (direct):
Sm 0.750 0.250 0.844
Sm 0.250 0.750 0.156
Sc 0.250 0.250 0.500
Sc 0.750 0.750 0.500
Pb 0.750 0.250 0.239
Pb 0.250 0.750 0.761

Record 8
Compound: La6Si2ICl3
Source: Alexandria via LeMat-Bulk
Functional: PBE
Structure: relaxed

## Properties
**Formation energy without anion corrections**: -1464 kJ/mol of formula units
**Calculated total energy**: -62.7 eV per cell
**Spin magnetization**: 0.00 μB per formula unit
**Space group**: C2/m, No. 12
**Crystal system**: monoclinic

Cell lengths 4.385, 8.599, 9.561 Å; angles 99.31, 103.26, 90.00 degrees
Positions (direct):
La 0.323 0.893 0.646
La 0.670 0.575 0.339
La 0.677 0.107 0.354
La 0.008 0.278 0.017
La 0.992 0.722 0.983
La 0.330 0.425 0.661
Si 0.832 0.667 0.664
Si 0.168 0.333 0.336
I 0.500 0.000 0.000
Cl 0.500 0.500 0.000
Cl 0.838 0.165 0.676
Cl 0.162 0.835 0.324

Record 9
Compound: BaSr2YS
Source: Alexandria via LeMat-Bulk
Functional: PBE
Structure: relaxed

## Properties
**Formation energy without anion corrections**: 486 kJ/mol of formula units
**Calculated total energy**: -10.8 eV per cell
**Spin magnetization**: 1.14 μB per formula unit
**Space group**: P4/mmm, No. 123
**Crystal system**: tetragonal

Cell lengths 6.309, 5.664, 6.309 Å; angles 90.00, 90.00, 90.00 degrees
Positions (direct):
Y 0.000 0.500 0.000
Sr 0.000 0.000 0.500
Sr 0.500 0.000 0.000
S 0.500 0.500 0.500
Ba 0.000 0.000 0.000

Record 10
Compound: LaAsW2I
Source: Alexandria via LeMat-Bulk
Functional: PBE
Structure: relaxed

## Properties
**Formation energy without anion corrections**: 1240 kJ/mol of formula units
**Calculated total energy**: -24.2 eV per cell
**Spin magnetization**: 2.25 μB per formula unit
**Space group**: P4/mmm, No. 123
**Crystal system**: tetragonal

Cell lengths 5.008, 5.992, 5.008 Å; angles 90.00, 90.00, 90.00 degrees
Positions (direct):
I 0.000 0.500 0.000
As 0.500 0.500 0.500
W 0.000 0.000 0.500
W 0.500 0.000 0.000
La 0.000 0.000 0.000

Record 11
Compound: LiCe2ZnAg6
Source: Alexandria via LeMat-Bulk
Functional: PBE
Structure: relaxed

## Properties
**Formation energy**: 0.040 eV/atom
**Calculated total energy**: -31.8 eV per cell
**Spin magnetization**: 2.54 μB per formula unit
**Space group**: P-1, No. 2
**Crystal system**: triclinic

Cell lengths 6.514, 7.128, 7.066 Å; angles 54.85, 62.83, 90.08 degrees
Positions (direct):
Li 0.000 0.000 0.000
Ce 0.782 0.219 0.435
Ce 0.218 0.781 0.565
Zn 0.500 0.500 0.000
Ag 0.243 0.322 0.511
Ag 0.684 0.757 0.070
Ag 0.247 0.759 0.066
Ag 0.753 0.241 0.934
Ag 0.316 0.243 0.930
Ag 0.757 0.678 0.489

Record 12
Compound: Rb3ZrS4
Source: Alexandria via LeMat-Bulk
Functional: PBE
Structure: relaxed

## Properties
**Formation energy without anion corrections**: -872 kJ/mol of formula units
**Calculated total energy**: -37.0 eV per cell
**Spin magnetization**: 1.00 μB per formula unit
**Space group**: Cmmm, No. 65
**Crystal system**: orthorhombic

Cell lengths 4.037, 7.998, 7.998 Å; angles 107.66, 90.00, 90.00 degrees
Positions (direct):
Rb 0.000 0.000 0.500
Rb 0.500 0.500 0.500
Rb 0.000 0.500 0.000
Zr 0.500 0.000 0.000
S 0.000 0.188 0.188
S 0.500 0.804 0.196
S 0.000 0.812 0.812
S 0.500 0.196 0.804

Record 13
Compound: RbTmS4
Source: Alexandria via LeMat-Bulk
Functional: PBE
Structure: relaxed

## Properties
**Formation energy without anion corrections**: -694 kJ/mol of formula units
**Calculated total energy**: -58.3 eV per cell
**Spin magnetization**: 0.00 μB per formula unit
**Space group**: P4/nbm, No. 125
**Crystal system**: tetragonal

Cell lengths 5.912, 5.912, 8.290 Å; angles 90.00, 90.00, 90.00 degrees
Positions (direct):
Rb 0.500 0.500 0.500
Rb 0.000 0.000 0.500
Tm 0.500 0.500 0.000
Tm 0.000 0.000 0.000
S 0.627 0.873 0.193
S 0.127 0.627 0.193
S 0.873 0.373 0.193
S 0.627 0.127 0.807
S 0.373 0.873 0.807
S 0.373 0.127 0.193
S 0.873 0.627 0.807
S 0.127 0.373 0.807

Record 14
Compound: Dy2ZrAl
Source: Alexandria via LeMat-Bulk
Functional: PBE
Structure: relaxed

## Properties
**Formation energy**: -0.160 eV/atom
**Offset from the most stable computed form**: 0.000 eV per atom
**Calculated total energy**: -22.1 eV per cell
**Spin magnetization**: 0.00 μB per formula unit
**Space group**: P4/mmm, No. 123
**Crystal system**: tetragonal

Cell lengths 4.649, 4.587, 4.587 Å; angles 90.00, 90.00, 90.00 degrees
Positions (direct):
Al 0.500 0.000 0.000
Zr 0.500 0.500 0.500
Dy 0.000 0.000 0.500
Dy 0.000 0.500 0.000

Record 15
Compound: ZrRuO2
Source: Alexandria via LeMat-Bulk
Functional: PBE
Structure: relaxed

## Properties
**Formation energy without anion corrections**: -548 kJ/mol of formula units
**Offset from the most stable computed form**: 0.186 eV per atom
**Calculated total energy**: -66.8 eV per cell
**Spin magnetization**: 0.01 μB per formula unit
**Space group**: I-42d, No. 122
**Crystal system**: tetragonal

Cell lengths 4.065, 4.065, 6.950 Å; angles 72.99, 72.99, 90.00 degrees
Positions (direct):
Ru 0.000 0.000 0.000
Ru 0.750 0.250 0.500
O 0.628 0.125 0.250
O 0.122 0.625 0.250
O 0.375 0.372 0.750
O 0.875 0.878 0.750
Zr 0.500 0.500 0.000
Zr 0.250 0.750 0.500

Record 16
Compound: K3Cd4In
Source: Alexandria via LeMat-Bulk
Functional: PBE
Structure: relaxed

## Properties
**Formation energy**: -0.065 eV/atom
**Calculated total energy**: -10.2 eV per cell
**Spin magnetization**: 0.00 μB per formula unit
**Space group**: C2, No. 5
**Crystal system**: monoclinic

Cell lengths 6.890, 7.633, 8.122 Å; angles 129.02, 115.10, 90.00 degrees
Positions (direct):
K 0.752 0.202 0.608
K 0.188 0.000 0.000
K 0.143 0.798 0.392
In 0.436 0.500 0.000
Cd 0.621 0.612 0.478
Cd 0.143 0.388 0.522
Cd 0.722 0.234 0.075
Cd 0.647 0.766 0.925

Record 17
Compound: CsMg2SbCl8
Source: Alexandria via LeMat-Bulk
Functional: PBE
Structure: relaxed

## Properties
**Formation energy without anion corrections**: -1738 kJ/mol of formula units
**Calculated total energy**: -41.0 eV per cell
**Spin magnetization**: 0.00 μB per formula unit
**Space group**: R-3, No. 148
**Crystal system**: trigonal

Cell lengths 6.557, 6.557, 11.543 Å; angles 73.50, 73.50, 60.00 degrees
Positions (direct):
Cs 0.500 0.500 0.500
Mg 0.260 0.260 0.219
Mg 0.740 0.740 0.781
Sb 0.000 0.000 0.000
Cl 0.191 0.191 0.428
Cl 0.629 0.286 0.145
Cl 0.809 0.809 0.572
Cl 0.940 0.629 0.145
Cl 0.060 0.371 0.855
Cl 0.286 0.940 0.145
Cl 0.714 0.060 0.855
Cl 0.371 0.714 0.855

Record 18
Compound: NbIr4Rh3
Source: Alexandria via LeMat-Bulk
Functional: PBE
Structure: relaxed

## Properties
**Formation energy**: 0.094 eV/atom
**Calculated total energy**: -66.8 eV per cell
**Spin magnetization**: 0.00 μB per formula unit
**Space group**: Immm, No. 71
**Crystal system**: orthorhombic

Cell lengths 2.730, 8.851, 6.878 Å; angles 130.05, 101.45, 90.00 degrees
Positions (direct):
Nb 0.500 0.000 0.000
Ir 0.370 0.612 0.740
Ir 0.630 0.388 0.260
Ir 0.630 0.872 0.260
Ir 0.370 0.128 0.740
Rh 0.221 0.221 0.442
Rh 0.779 0.779 0.558
Rh 0.000 0.500 0.000

Record 19
Compound: AcSm2DySe6
Source: Alexandria via LeMat-Bulk
Functional: PBE
Structure: relaxed

## Properties
**Formation energy without anion corrections**: -1807 kJ/mol of formula units
**Calculated total energy**: -57.8 eV per cell
**Spin magnetization**: 0.00 μB per formula unit
**Space group**: R3, No. 146
**Crystal system**: trigonal

Cell lengths 7.469, 7.469, 7.887 Å; angles 61.74, 61.74, 60.00 degrees
Positions (direct):
Ac 0.807 0.807 0.578
Sm 0.520 0.520 0.441
Sm 0.012 0.012 0.963
Dy 0.319 0.319 0.044
Se 0.605 0.224 0.247
Se 0.224 0.924 0.247
Se 0.924 0.605 0.247
Se 0.385 0.721 0.749
Se 0.721 0.144 0.749
Se 0.144 0.385 0.749

Record 20
Compound: NiSeI
Source: Alexandria via LeMat-Bulk
Functional: PBE
Structure: relaxed

## Properties
**Formation energy without anion corrections**: -37 kJ/mol of formula units
**Calculated total energy**: -44.8 eV per cell
**Spin magnetization**: 0.00 μB per formula unit
**Space group**: Pnma, No. 62
**Crystal system**: orthorhombic

Cell lengths 3.786, 7.005, 11.649 Å; angles 90.00, 90.00, 90.00 degrees
Positions (direct):
Ni 0.250 0.814 0.879
Ni 0.750 0.686 0.121
Ni 0.750 0.314 0.621
Ni 0.250 0.186 0.379
I 0.750 0.358 0.239
I 0.250 0.142 0.761
I 0.250 0.858 0.261
I 0.750 0.642 0.739
Se 0.750 0.928 0.981
Se 0.250 0.572 0.019
Se 0.250 0.428 0.519
Se 0.750 0.072 0.481